Density functional theory data (PBE) for an optimized crystal structure of CsNdB4.

Output
Raw total energy   -30.579 eV/cell

a = 3.312 Å, b = 3.312 Å, c = 9.651 Å
α = 90.00°, β = 90.00°, γ = 120.00°
Fractional coordinates of all 6 atoms:
Cs  0.000  0.000  0.000
Nd  0.000  0.000  0.500
B  0.333  0.667  0.291
B  0.333  0.667  0.709
B  0.667  0.333  0.291
B  0.667  0.333  0.709